Entry 1:
Compound: Y2BeNiPd6
Source: the Alexandria database
Functional: PBE-GGA
Structure: relaxed

```
10
Lattice="6.252 0.567 0.708 0.703 6.597 1.080 4.099 4.337 5.360" Properties=species:S:1:pos:R:3 pbc="T T T"
Pd 1.819 1.778 0.571
Ni 0.000 0.000 0.000
Y 6.765 4.368 3.624
Pd 5.704 8.823 5.488
Pd 7.726 7.161 4.171
Y 4.289 7.133 3.524
Pd 3.328 4.341 2.976
Be 3.478 3.582 0.894
Pd 5.351 2.678 1.660
Pd 9.235 9.724 6.576
```

* ρ: 8.38 g cm⁻³
* energy of formation: -0.54 eV per atom
* uncorrected energy: -58.95 eV/cell


Entry 2:
Compound: Tb4YPbS8
Source: the Alexandria database
Functional: PBE-GGA
Structure: relaxed

```
14
Lattice="8.180 0.000 0.000 4.090 7.084 0.000 4.090 2.361 6.671" Properties=species:S:1:pos:R:3 pbc="T T T"
S 12.270 7.084 4.847
Tb 4.090 4.687 3.349
Tb 6.104 1.199 3.349
S 6.004 5.979 1.715
Y 4.090 2.361 6.632
S 8.180 2.210 1.715
Tb 8.180 4.723 0.834
S 5.914 3.415 4.917
S 4.090 2.361 1.936
Tb 2.076 1.199 3.349
S 10.446 3.415 4.917
S 8.180 7.339 4.917
Pb 8.180 4.723 5.838
S 10.355 5.979 1.715
```

* ρ: 5.10 g cm⁻³
* uncorrected energy: -86.54 eV/cell
* uncorrected formation energy: -1.773 eV/atom


Entry 3:
Compound: MgAgTe3
Source: the Alexandria database
Functional: PBE-GGA
Structure: relaxed

```
5
Lattice="5.462 0.000 0.000 0.000 5.462 0.000 0.000 0.000 5.462" Properties=species:S:1:pos:R:3 pbc="T T T"
Ag 2.731 2.731 2.731
Te 0.000 0.000 2.731
Te 0.000 2.731 0.000
Te 2.731 0.000 0.000
Mg 0.000 0.000 0.000
```

* ρ: 5.25 g cm⁻³
* uncorrected energy: -12.06 eV/cell
* uncorrected formation energy: 0.361 eV/atom
* energy above the most stable polymorph in this dataset: 0.000 eV/atom


Entry 4:
Compound: LaPmBeN2
Source: the Alexandria database
Functional: PBE-GGA
Structure: relaxed

```
10
Lattice="-0.999 2.247 -4.470 -0.164 -4.766 -2.359 -6.700 -0.408 1.292" Properties=species:S:1:pos:R:3 pbc="T T T"
N -0.251 -0.501 -1.454
La -2.755 -0.240 -5.323
N -7.612 -2.426 -4.083
Be 0.000 0.000 0.000
Pm -2.174 1.021 -1.911
Pm -5.525 0.818 -1.267
N -4.168 0.571 -3.346
N -3.695 -3.498 -2.191
La -5.108 -2.687 -0.214
Be -3.350 -0.204 0.646
```

* ρ: 5.74 g cm⁻³
* uncorrected energy: -68.63 eV/cell
* uncorrected formation energy: -0.852 eV/atom


Entry 5:
Compound: RbV2Tc2
Source: the Alexandria database
Functional: PBE-GGA
Structure: relaxed

```
10
Lattice="8.003 0.000 0.000 0.000 8.003 0.000 0.000 0.000 2.961" Properties=species:S:1:pos:R:3 pbc="T T T"
V 7.024 4.981 0.000
Tc 1.044 5.045 1.480
Tc 6.959 2.958 1.480
Tc 2.958 1.044 1.480
Tc 5.045 6.959 1.480
V 4.981 0.979 0.000
V 0.979 3.022 0.000
Rb 4.001 4.001 0.000
Rb 0.000 0.000 0.000
V 3.022 7.024 0.000
```

* ρ: 6.71 g cm⁻³
* energy of formation: 0.70 eV per atom
* uncorrected energy: -72.86 eV/cell
* energy above the most stable polymorph in this dataset: 0.000 eV/atom


Entry 6:
Compound: Sr3Li4Ca2
Source: the Alexandria database
Functional: PBE-GGA
Structure: relaxed

```
9
Lattice="5.910 0.000 0.000 -2.955 5.104 -0.468 0.000 0.986 10.935" Properties=species:S:1:pos:R:3 pbc="T T T"
Sr 0.000 3.986 6.123
Li 0.000 0.650 7.136
Ca 0.000 3.607 1.999
Sr 0.000 0.000 0.000
Sr 2.955 2.104 4.343
Ca 2.955 2.483 8.468
Li 0.000 4.289 9.543
Li 2.955 1.801 0.924
Li 2.955 5.440 3.330
```

* ρ: 1.85 g cm⁻³
* energy of formation: 0.05 eV per atom
* uncorrected energy: -16.26 eV/cell


Entry 7:
Compound: Pm6HgRu
Source: the Alexandria database
Functional: PBE-GGA
Structure: relaxed

```
8
Lattice="-3.667 5.396 -1.716 -5.405 0.976 5.123 0.714 3.758 5.543" Properties=species:S:1:pos:R:3 pbc="T T T"
Pm -6.665 4.637 2.551
Hg 0.000 0.000 0.000
Ru -4.536 3.186 1.704
Pm -3.114 5.522 1.373
Pm -5.244 4.608 7.577
Pm -2.407 1.735 0.856
Pm -4.916 6.871 4.720
Pm -3.442 3.259 4.230
```

* ρ: 7.25 g cm⁻³
* energy of formation: -0.05 eV per atom
* uncorrected energy: -38.46 eV/cell


Entry 8:
Compound: KBPd3
Source: the Alexandria database
Functional: PBE-GGA
Structure: relaxed

```
5
Lattice="4.348 0.000 0.000 0.000 4.348 0.000 0.000 0.000 4.348" Properties=species:S:1:pos:R:3 pbc="T T T"
Pd 2.174 0.000 0.000
B 0.000 0.000 0.000
K 2.174 2.174 2.174
Pd 0.000 0.000 2.174
Pd 0.000 2.174 0.000
```

* ρ: 7.46 g cm⁻³
* energy of formation: -0.07 eV per atom
* uncorrected energy: -23.72 eV/cell


Entry 9:
Compound: NaIn2Pb2
Source: the Alexandria database
Functional: PBE-GGA
Structure: relaxed

```
5
Lattice="-0.981 -3.357 3.775 -1.656 -3.420 -3.471 4.529 -5.687 -0.372" Properties=species:S:1:pos:R:3 pbc="T T T"
Na 0.000 0.000 0.000
Pb 0.777 -6.248 -1.845
Pb 1.114 -6.216 1.778
In 1.896 -8.559 -0.102
In -0.004 -3.905 0.034
```

* ρ: 6.63 g cm⁻³
* energy of formation: 0.00 eV per atom
* uncorrected energy: -14.20 eV/cell
* energy above the most stable polymorph in this dataset: 0.074 eV/atom


Entry 10:
Compound: Ti4NbSi2
Source: the Alexandria database
Functional: PBE-GGA
Structure: relaxed

```
7
Lattice="-2.002 -0.913 3.773 -3.731 -2.270 -0.001 2.005 -7.499 1.778" Properties=species:S:1:pos:R:3 pbc="T T T"
Ti -1.257 -2.135 1.344
Si -0.558 -7.488 2.948
Ti -2.471 -8.546 4.205
Si -3.171 -3.193 2.601
Ti -4.319 -5.507 3.959
Ti 0.591 -5.174 1.590
Nb -1.864 -5.341 2.774
```

* ρ: 4.53 g cm⁻³
* uncorrected energy: -53.44 eV/cell
* uncorrected formation energy: -0.135 eV/atom


Entry 11:
Compound: Tb12Tl5Zn2
Source: the Alexandria database
Functional: PBE-GGA
Structure: relaxed

```
19
Lattice="7.157 0.000 0.000 -3.579 8.398 1.817 0.000 -0.834 9.028" Properties=species:S:1:pos:R:3 pbc="T T T"
Tb 5.348 2.137 4.942
Tb 1.809 2.137 4.942
Tl 0.000 4.832 3.235
Zn 4.781 0.000 0.000
Zn 2.376 0.000 0.000
Tb 3.579 -0.179 2.766
Tb 1.823 4.994 9.648
Tl 3.579 4.401 3.223
Tb -1.823 4.994 9.648
Tb 3.579 7.681 3.338
Tl 3.579 2.733 7.610
Tb 0.000 -0.117 7.507
Tb -1.769 5.428 5.903
Tl 0.000 -0.417 4.514
Tb 1.769 5.428 5.903
Tb 0.000 7.743 8.079
Tb 5.402 2.570 1.198
Tl 0.000 3.163 7.622
Tb 1.755 2.570 1.198
```

* ρ: 9.18 g cm⁻³
* energy of formation: -0.15 eV per atom
* uncorrected energy: -72.84 eV/cell


Entry 12:
Compound: NaPm7Pb4
Source: the Alexandria database
Functional: PBE-GGA
Structure: relaxed

```
12
Lattice="-2.555 -4.557 2.497 -0.528 -7.072 -6.733 5.328 -4.932 3.166" Properties=species:S:1:pos:R:3 pbc="T T T"
Na 0.000 0.000 0.000
Pm 1.702 -4.068 1.032
Pm -0.467 -7.276 -0.329
Pm 2.712 -9.285 -0.742
Pb 1.747 -7.265 1.958
Pb -0.507 -4.097 -1.282
Pb 2.752 -12.464 0.211
Pm -1.278 -2.279 1.248
Pb 0.497 -9.296 -3.029
Pm 1.754 -10.573 2.641
Pm 0.543 -12.493 -2.103
Pm 0.491 -5.988 -3.712
```

* ρ: 7.78 g cm⁻³
* energy of formation: -0.16 eV per atom
* uncorrected energy: -51.39 eV/cell


Entry 13:
Compound: AsRu3
Source: the Alexandria database
Functional: PBE-GGA
Structure: relaxed

```
4
Lattice="-2.865 -0.093 0.110 1.552 -0.918 2.231 -0.120 7.458 3.152" Properties=species:S:1:pos:R:3 pbc="T T T"
Ru -1.421 1.402 1.565
Ru -0.060 3.729 1.576
Ru -1.484 5.321 3.221
As 0.000 0.000 0.000
```

* ρ: 10.88 g cm⁻³
* energy of formation: 0.18 eV per atom
* uncorrected energy: -31.77 eV/cell
* energy above the most stable polymorph in this dataset: 0.113 eV/atom


Entry 14:
Compound: LaFe3Ag
Source: the Alexandria database
Functional: PBE-GGA
Structure: relaxed

```
5
Lattice="-2.714 2.768 -2.506 -2.445 -3.659 -1.393 -2.822 0.508 3.617" Properties=species:S:1:pos:R:3 pbc="T T T"
Fe -1.357 1.384 -1.253
Ag -3.990 -0.192 -0.141
Fe -1.411 0.254 1.809
La 0.000 0.000 0.000
Fe -1.222 -1.829 -0.697
```

* ρ: 7.00 g cm⁻³
* energy of formation: 1.63 eV per atom
* uncorrected energy: -25.03 eV/cell
* energy above the most stable polymorph in this dataset: 0.642 eV/atom


Entry 15:
Compound: CdGa2Os
Source: the Alexandria database
Functional: PBE-GGA
Structure: relaxed

```
8
Lattice="-5.461 0.227 -2.533 1.930 -3.537 -4.479 -3.382 -6.413 -0.445" Properties=species:S:1:pos:R:3 pbc="T T T"
Ga -4.381 -1.889 -2.422
Cd -1.765 -1.655 -3.506
Os -5.305 -3.921 -3.242
Ga 0.041 -3.801 -3.059
Ga -5.498 -7.941 -6.766
Os 0.000 0.000 0.000
Cd -1.609 -5.803 -4.215
Ga -3.989 -5.816 -2.665
```

* ρ: 6.88 g cm⁻³
* energy of formation: 0.74 eV per atom
* uncorrected energy: -30.45 eV/cell


Entry 16:
Compound: TiGe3Se
Source: the Alexandria database
Functional: PBE-GGA
Structure: relaxed

```
5
Lattice="-4.641 1.563 0.799 -1.215 -1.232 -4.650 -1.267 -4.545 1.535" Properties=species:S:1:pos:R:3 pbc="T T T"
Ti -3.561 -2.107 -1.158
Ge -0.633 -2.273 0.768
Se 0.000 0.000 0.000
Ge -2.320 0.782 0.399
Ge -0.608 -0.616 -2.325
```

* ρ: 4.69 g cm⁻³
* uncorrected energy: -20.50 eV/cell
* uncorrected formation energy: 0.946 eV/atom
* energy above the most stable polymorph in this dataset: 0.498 eV/atom


Entry 17:
Compound: La2TbNd8
Source: the Alexandria database
Functional: PBE-GGA
Structure: relaxed

```
11
Lattice="5.829 1.697 0.000 2.655 8.856 0.000 1.327 4.428 8.354" Properties=species:S:1:pos:R:3 pbc="T T T"
Tb 2.915 0.848 0.000
Nd 6.699 7.721 6.438
Nd 5.372 3.293 1.916
Nd 4.439 11.688 6.438
Nd 5.640 6.330 0.000
Nd 4.242 5.277 4.925
La 1.327 4.428 3.231
La 2.655 8.856 5.123
Nd 2.844 4.223 0.000
Nd 3.112 7.260 1.916
Nd 5.569 9.705 3.429
```

* ρ: 6.71 g cm⁻³
* energy of formation: 0.14 eV per atom
* uncorrected energy: -51.14 eV/cell
* energy above the most stable polymorph in this dataset: 0.120 eV/atom


Entry 18:
Compound: VCoAs2Br
Source: the Alexandria database
Functional: PBE-GGA
Structure: relaxed

```
5
Lattice="-3.888 -0.823 2.463 -2.340 -0.814 -3.965 1.279 -5.144 0.301" Properties=species:S:1:pos:R:3 pbc="T T T"
Co -2.474 -3.390 -0.601
As -1.944 -0.411 1.232
Br 0.640 -2.572 0.150
As -1.170 -0.407 -1.983
V 0.000 0.000 0.000
```

* ρ: 4.86 g cm⁻³
* uncorrected energy: -23.68 eV/cell
* uncorrected formation energy: 0.703 eV/atom
* energy above the most stable polymorph in this dataset: 0.129 eV/atom


Entry 19:
Compound: Pr5ThS6
Source: the Alexandria database
Functional: PBE-GGA
Structure: relaxed

```
12
Lattice="7.019 0.169 1.065 1.724 5.931 3.459 0.119 0.058 7.086" Properties=species:S:1:pos:R:3 pbc="T T T"
S 6.078 2.601 6.981
Pr 0.614 1.996 3.515
S 2.179 1.494 1.113
S 6.564 4.607 3.411
Pr 4.372 3.050 2.262
S 2.784 3.558 4.628
Pr 4.980 5.021 5.824
Pr 1.229 3.993 7.029
S 5.471 0.633 3.413
S 3.391 5.526 8.197
Th 0.000 0.000 0.000
Pr 3.883 1.137 5.786
```

* ρ: 6.44 g cm⁻³
* uncorrected energy: -79.93 eV/cell
* uncorrected formation energy: -1.988 eV/atom


Entry 20:
Compound: Th5Hg2Os2
Source: the Alexandria database
Functional: PBE-GGA
Structure: relaxed

```
18
Lattice="-6.796 -3.459 2.565 3.746 -6.703 0.885 -0.032 5.386 7.177" Properties=species:S:1:pos:R:3 pbc="T T T"
Hg 0.791 0.875 3.276
Os -1.957 -2.216 1.064
Th 0.404 -1.873 6.992
Th 1.300 -6.306 3.387
Hg 2.922 -2.192 4.786
Hg -2.349 -0.570 5.626
Th -3.487 -2.903 3.635
Th -0.317 2.064 6.115
Hg -0.734 -4.207 5.001
Th -3.661 -2.409 8.117
Os 1.493 -4.765 0.911
Th -2.766 -6.841 4.512
Th 0.000 0.000 0.000
Os -4.543 -5.398 2.539
Th -4.382 1.529 7.240
Th 0.578 -2.368 2.510
Th -1.525 -5.081 1.725
Os -1.094 -7.947 2.386
```

* ρ: 12.80 g cm⁻³
* energy of formation: -0.31 eV per atom
* uncorrected energy: -125.94 eV/cell
* energy above the most stable polymorph in this dataset: 0.000 eV/atom